Below is an optimized crystal structure of KTl2V2O6, with properties calculated at the GGA+U level.

Output
uncorrected energy	-196.38	eV/cell

Cell: 6.4049 6.4049 20.6467 Å, 90.00 90.00 120.00°
Space group R-3m (No. 166, hexagonal axes)
Symmetry-distinct sites (fractional):
K (0.0000, 0.0000, 0.0000) [3 per cell]
Tl (0.0000, 0.0000, 0.1833) [6 per cell]
V (0.0000, 0.0000, 0.4315) [6 per cell]
O (0.0264, 0.5132, 0.2411) [18 per cell]